[1]
A relaxed structure of SrZn2InRu, computed with PBE.

Calculated values
* electronic total energy: -0.1243 Ha/atom
* space group: P4/mmm, No. 123
* theoretical density: 5.9 g/cm3
* energy relative to the elements: -0.1346 eV per atom

Cell lengths 4.920, 4.920, 5.086 Å; angles 90.00, 90.00, 90.00 degrees
Positions (direct):
Zn 0.500 0.000 0.000
Zn 0.000 0.500 0.000
Sr 0.500 0.500 0.500
In 0.000 0.000 0.500
Ru 0.000 0.000 0.000

[2]
A relaxed structure of LiMg2Zn2, computed with PBE.

Calculated values
* electronic total energy: -0.0605 Ha/atom
* space group: P-1, No. 2
* theoretical density: 3.5 g/cm3
* offset from the most stable computed form: 0 meV/atom
* energy relative to the elements: -0.1149 eV per atom

Cell lengths 4.608, 4.652, 8.453 Å; angles 74.62, 89.99, 90.00 degrees
Positions (direct):
Zn 0.941 0.541 0.919
Zn 0.441 0.459 0.081
Zn 0.442 0.247 0.508
Zn 0.940 0.753 0.492
Mg 0.441 0.851 0.297
Mg 0.941 0.149 0.703
Mg 0.441 0.647 0.707
Mg 0.941 0.353 0.293
Li 0.940 0.959 0.082
Li 0.441 0.041 0.918

[3]
A relaxed structure of LiBi2As2, computed with PBE.

Calculated values
* electronic total energy: -0.1406 Ha/atom
* space group: P4/mbm, No. 127
* theoretical density: 7.5 g/cm3
* offset from the most stable computed form: 0 meV/atom
* energy relative to the elements: -0.0304 eV per atom

Cell lengths 7.854, 7.854, 4.119 Å; angles 90.00, 90.00, 90.00 degrees
Positions (direct):
Li 0.000 0.000 0.000
Li 0.500 0.500 0.000
Bi 0.155 0.655 0.500
Bi 0.845 0.345 0.500
Bi 0.655 0.845 0.500
Bi 0.345 0.155 0.500
As 0.662 0.162 0.000
As 0.338 0.838 0.000
As 0.838 0.662 0.000
As 0.162 0.338 0.000

[4]
A relaxed structure of Ac6SmHo, computed with PBE.

Calculated values
* electronic total energy: -0.1518 Ha/atom
* space group: C2/m, No. 12
* theoretical density: 8.3 g/cm3
* energy relative to the elements: 0.1136 eV per atom

Cell lengths 6.349, 9.380, 9.377 Å; angles 40.17, 70.21, 70.22 degrees
Positions (direct):
Sm 0.500 0.500 0.500
Ho 0.000 0.000 0.000
Ac 0.882 0.587 0.648
Ac 0.249 0.792 0.710
Ac 0.383 0.146 0.088
Ac 0.617 0.854 0.912
Ac 0.118 0.413 0.352
Ac 0.751 0.208 0.290

[5]
A relaxed structure of Th4Ir, computed with PBE.

Calculated values
* electronic total energy: -0.2858 Ha/atom
* space group: Pm-3m, No. 221
* theoretical density: 10.8 g/cm3
* offset from the most stable computed form: 0 meV/atom
* energy relative to the elements: -0.0678 eV per atom

Cell lengths 5.558, 5.558, 5.558 Å; angles 90.00, 90.00, 90.00 degrees
Positions (direct):
Th 0.500 0.500 0.000
Th 0.500 0.000 0.500
Th 0.000 0.000 0.000
Th 0.000 0.500 0.500
Ir 0.500 0.500 0.500

[6]
A relaxed structure of LaPW2, computed with PBE.

Calculated values
* electronic total energy: -0.3350 Ha/atom
* space group: P4mm, No. 99
* theoretical density: 11.7 g/cm3
* offset from the most stable computed form: 13 meV/atom
* energy relative to the elements: -0.0547 eV per atom

Cell lengths 3.248, 3.248, 7.252 Å; angles 90.00, 90.00, 90.00 degrees
Positions (direct):
La 0.000 0.000 0.504
W 0.000 0.000 0.987
W 0.500 0.500 0.189
P 0.500 0.500 0.819

[7]
A relaxed structure of La5Cu, computed with PBE.

Calculated values
* electronic total energy: -0.1722 Ha/atom
* space group: Amm2, No. 38
* theoretical density: 6.7 g/cm3
* offset from the most stable computed form: 142 meV/atom
* energy relative to the elements: 0.1021 eV per atom

Cell lengths 4.974, 15.262, 4.948 Å; angles 90.00, 90.00, 90.00 degrees
Positions (direct):
La 0.500 0.176 0.000
La 0.500 0.028 0.500
La 0.000 0.351 0.000
La 0.000 0.198 0.500
La 0.000 0.528 0.500
La 0.000 0.676 0.000
La 0.000 0.883 0.500
La 0.500 0.383 0.500
La 0.500 0.698 0.500
La 0.500 0.851 0.000
Cu 0.500 0.531 0.000
Cu 0.000 0.031 0.000

[8]
A relaxed structure of NaSrTl3Sn, computed with PBE.

Calculated values
* electronic total energy: -0.0955 Ha/atom
* space group: P2_1/m, No. 11
* theoretical density: 7.7 g/cm3
* energy relative to the elements: -0.2494 eV per atom

Cell lengths 5.419, 7.234, 10.575 Å; angles 119.08, 90.00, 90.00 degrees
Positions (direct):
Tl 0.250 0.149 0.029
Tl 0.750 0.851 0.971
Tl 0.750 0.320 0.627
Tl 0.250 0.680 0.373
Tl 0.250 0.655 0.741
Tl 0.750 0.345 0.259
Sn 0.750 0.830 0.267
Sn 0.250 0.170 0.733
Na 0.750 0.348 0.950
Na 0.250 0.652 0.050
Sr 0.750 0.813 0.606
Sr 0.250 0.187 0.394